Entry 1:
VASP calculation (PBE) on a geometry-optimized TaTi2GaN structure.

## Properties
Formation energy (no corrections) in meV/atom: -756
DOS(E_F) in states/eV/cell: 5.4
Space group: P4/mmm, No. 123
Raw total energy in eV/atom: -8.55
Total moment in μB per atom: 0.003

a = 4.051 Å, b = 4.051 Å, c = 4.366 Å
α = 90.00°, β = 90.00°, γ = 90.00°
Positions (direct):
Ta  0.000  0.000  0.000
Ti  0.000  0.500  0.500
Ti  0.500  0.000  0.500
Ga  0.500  0.500  0.000
N  0.000  0.000  0.500

Entry 2:
VASP calculation (PBE) on a geometry-optimized Ta2VGaN structure.

## Properties
Formation energy (no corrections) in meV/atom: -469
DOS(E_F) in states/eV/cell: 3.6
Space group: P4/mmm, No. 123
Raw total energy in eV/atom: -9.30
Total moment in μB per atom: 0.000

a = 4.316 Å, b = 4.316 Å, c = 3.809 Å
α = 90.00°, β = 90.00°, γ = 90.00°
Positions (direct):
Ta  0.000  0.500  0.000
Ta  0.500  0.000  0.000
V  0.000  0.000  0.500
Ga  0.500  0.500  0.500
N  0.000  0.000  0.000

Entry 3:
VASP calculation (PBE) on a geometry-optimized TaV2GaN structure.

## Properties
Formation energy (no corrections) in meV/atom: -517
DOS(E_F) in states/eV/cell: 5.5
Space group: P4/mmm, No. 123
Raw total energy in eV/atom: -8.81
Relative energy among the computed polymorphs in eV/atom: 0.0000
Total moment in μB per atom: 0.000

a = 3.919 Å, b = 3.919 Å, c = 4.307 Å
α = 90.00°, β = 90.00°, γ = 90.00°
Positions (direct):
Ta  0.000  0.000  0.000
V  0.000  0.500  0.500
V  0.500  0.000  0.500
Ga  0.500  0.500  0.000
N  0.000  0.000  0.500

Entry 4:
VASP calculation (PBE) on a geometry-optimized TaV2GaN structure.

## Properties
Formation energy (no corrections) in meV/atom: 2319
DOS(E_F) in states/eV/cell: 6.1
Space group: P4/mmm, No. 123
Raw total energy in eV/atom: -5.97
Relative energy among the computed polymorphs in eV/atom: 2.8367
Total moment in μB per atom: 0.000

a = 4.579 Å, b = 4.579 Å, c = 4.933 Å
α = 90.00°, β = 90.00°, γ = 90.00°
Positions (direct):
Ta  0.000  0.000  0.000
V  0.000  0.500  0.000
V  0.500  0.000  0.000
Ga  0.000  0.000  0.500
N  0.500  0.500  0.500

Entry 5:
VASP calculation (PBE) on a geometry-optimized TaZn2GaN4 structure.

## Properties
Formation energy (no corrections) in meV/atom: -495
DOS(E_F) in states/eV/cell: 0.0
Space group: Pmn2_1, No. 31
Raw total energy in eV/atom: -6.84
Total moment in μB per atom: 0.000

a = 6.606 Å, b = 5.722 Å, c = 5.344 Å
α = 90.00°, β = 90.00°, γ = 90.00°
Positions (direct):
Ta  0.000  0.167  0.000
Ta  0.500  0.833  0.500
Zn  0.250  0.331  0.501
Zn  0.250  0.669  0.001
Zn  0.750  0.331  0.501
Zn  0.750  0.669  0.001
Ga  0.000  0.827  0.501
Ga  0.500  0.173  0.001
N  0.000  0.149  0.365
N  0.000  0.848  0.869
N  0.250  0.326  0.889
N  0.250  0.674  0.389
N  0.500  0.152  0.369
N  0.500  0.851  0.865
N  0.750  0.326  0.889
N  0.750  0.674  0.389

Entry 6:
VASP calculation (PBE) on a geometry-optimized ZrTaGa2N structure.

## Properties
Formation energy (no corrections) in meV/atom: 2125
DOS(E_F) in states/eV/cell: 4.0
Space group: P4/mmm, No. 123
Raw total energy in eV/atom: -4.83
Total moment in μB per atom: 0.342

a = 5.235 Å, b = 5.235 Å, c = 5.051 Å
α = 90.00°, β = 90.00°, γ = 90.00°
Positions (direct):
Zr  0.000  0.000  0.000
Ta  0.000  0.000  0.500
Ga  0.000  0.500  0.000
Ga  0.500  0.000  0.000
N  0.500  0.500  0.500

Entry 7:
VASP calculation (PBE) on a geometry-optimized Zr2TaGaN structure.

## Properties
Formation energy (no corrections) in meV/atom: -719
DOS(E_F) in states/eV/cell: 5.4
Space group: P4/nmm, No. 129
Raw total energy in eV/atom: -8.78
Relative energy among the computed polymorphs in eV/atom: 0.0096
Total moment in μB per atom: 0.000

a = 3.705 Å, b = 3.705 Å, c = 12.231 Å
α = 90.00°, β = 90.00°, γ = 90.00°
Positions (direct):
Zr  0.250  0.250  0.088
Zr  0.250  0.250  0.736
Zr  0.750  0.750  0.264
Zr  0.750  0.750  0.912
Ta  0.250  0.750  0.500
Ta  0.750  0.250  0.500
Ga  0.250  0.250  0.329
Ga  0.750  0.750  0.671
N  0.250  0.250  0.912
N  0.750  0.750  0.088

Entry 8:
VASP calculation (PBE) on a geometry-optimized Zr2TaGaN structure.

## Properties
Formation energy (no corrections) in meV/atom: -728
DOS(E_F) in states/eV/cell: 4.1
Space group: P4/mmm, No. 123
Raw total energy in eV/atom: -8.79
Relative energy among the computed polymorphs in eV/atom: 0.0000
Total moment in μB per atom: 0.000

a = 4.585 Å, b = 4.585 Å, c = 4.066 Å
α = 90.00°, β = 90.00°, γ = 90.00°
Positions (direct):
Zr  0.000  0.500  0.000
Zr  0.500  0.000  0.000
Ta  0.000  0.000  0.500
Ga  0.500  0.500  0.500
N  0.000  0.000  0.000

Entry 9:
VASP calculation (PBE) on a geometry-optimized Tb4Ga2N structure.

## Properties
Formation energy (no corrections) in meV/atom: -780
DOS(E_F) in states/eV/cell: 4.3
Space group: I4/mmm, No. 139
Raw total energy in eV/atom: -5.48
Relative energy among the computed polymorphs in eV/atom: 0.0000
Total moment in μB per atom: 0.000

a = 8.245 Å, b = 8.245 Å, c = 8.245 Å
α = 146.87°, β = 146.87°, γ = 47.56°
Positions (direct):
Tb  0.000  0.500  0.500
Tb  0.170  0.170  0.000
Tb  0.500  0.000  0.500
Tb  0.830  0.830  0.000
Ga  0.368  0.368  0.000
Ga  0.632  0.632  0.000
N  0.000  0.000  0.000

Entry 10:
VASP calculation (PBE) on a geometry-optimized Tb12Ga3N5 structure.

## Properties
Formation energy (no corrections) in meV/atom: -889
DOS(E_F) in states/eV/cell: 53.5
Space group: Ia-3d, No. 230
Raw total energy in eV/atom: -6.20
Total moment in μB per atom: 0.000

a = 13.354 Å, b = 13.354 Å, c = 13.354 Å
α = 109.47°, β = 109.47°, γ = 109.47°
Positions (direct):
Tb  0.019  0.203  0.116
Tb  0.019  0.317  0.904
Tb  0.087  0.703  0.683
Tb  0.087  0.884  0.404
Tb  0.096  0.616  0.413
Tb  0.096  0.981  0.683
Tb  0.116  0.019  0.203
Tb  0.116  0.596  0.913
Tb  0.183  0.203  0.587
Tb  0.183  0.481  0.596
Tb  0.203  0.116  0.019
Tb  0.203  0.587  0.183
Tb  0.297  0.317  0.913
Tb  0.297  0.481  0.384
Tb  0.317  0.904  0.019
Tb  0.317  0.913  0.297
Tb  0.384  0.297  0.481
Tb  0.384  0.587  0.904
Tb  0.404  0.087  0.884
Tb  0.404  0.817  0.519
Tb  0.413  0.096  0.616
Tb  0.413  0.817  0.797
Tb  0.481  0.384  0.297
Tb  0.481  0.596  0.183
Tb  0.519  0.404  0.817
Tb  0.519  0.616  0.703
Tb  0.587  0.183  0.203
Tb  0.587  0.904  0.384
Tb  0.596  0.183  0.481
Tb  0.596  0.913  0.116
Tb  0.616  0.413  0.096
Tb  0.616  0.703  0.519
Tb  0.683  0.087  0.703
Tb  0.683  0.096  0.981
Tb  0.703  0.519  0.616
Tb  0.703  0.683  0.087
Tb  0.797  0.413  0.817
Tb  0.797  0.884  0.981
Tb  0.817  0.519  0.404
Tb  0.817  0.797  0.413
Tb  0.884  0.404  0.087
Tb  0.884  0.981  0.797
Tb  0.904  0.019  0.317
Tb  0.904  0.384  0.587
Tb  0.913  0.116  0.596
Tb  0.913  0.297  0.317
Tb  0.981  0.683  0.096
Tb  0.981  0.797  0.884
Ga  0.125  0.250  0.375
Ga  0.125  0.375  0.750
Ga  0.250  0.375  0.125
Ga  0.250  0.875  0.625
Ga  0.375  0.125  0.250
Ga  0.375  0.750  0.125
Ga  0.625  0.250  0.875
Ga  0.625  0.875  0.750
Ga  0.750  0.125  0.375
Ga  0.750  0.625  0.875
Ga  0.875  0.625  0.250
Ga  0.875  0.750  0.625
N  0.000  0.000  0.000
N  0.000  0.000  0.500
N  0.000  0.500  0.000
N  0.000  0.500  0.500
N  0.125  0.750  0.875
N  0.125  0.875  0.250
N  0.250  0.125  0.875
N  0.250  0.625  0.375
N  0.375  0.250  0.625
N  0.375  0.625  0.750
N  0.500  0.000  0.000
N  0.500  0.000  0.500
N  0.500  0.500  0.000
N  0.500  0.500  0.500
N  0.625  0.375  0.250
N  0.625  0.750  0.375
N  0.750  0.375  0.625
N  0.750  0.875  0.125
N  0.875  0.125  0.750
N  0.875  0.250  0.125

Entry 11:
VASP calculation (PBE) on a geometry-optimized Tb4Ga2N structure.

## Properties
Formation energy (no corrections) in meV/atom: -741
DOS(E_F) in states/eV/cell: 4.8
Space group: C2/m, No. 12
Raw total energy in eV/atom: -5.44
Relative energy among the computed polymorphs in eV/atom: 0.0394
Total moment in μB per atom: 0.000

a = 7.738 Å, b = 7.738 Å, c = 6.011 Å
α = 102.85°, β = 102.85°, γ = 27.08°
Positions (direct):
Tb  0.069  0.069  0.271
Tb  0.367  0.367  0.156
Tb  0.633  0.633  0.844
Tb  0.931  0.931  0.729
Ga  0.260  0.260  0.660
Ga  0.740  0.740  0.340
N  0.500  0.500  0.000

Entry 12:
VASP calculation (PBE) on a geometry-optimized Tb6Ga3N structure.

## Properties
Formation energy (no corrections) in meV/atom: -590
DOS(E_F) in states/eV/cell: 8.7
Space group: C2/m, No. 12
Raw total energy in eV/atom: -5.11
Total moment in μB per atom: 0.000

a = 6.538 Å, b = 6.538 Å, c = 6.501 Å
α = 96.71°, β = 96.71°, γ = 60.47°
Positions (direct):
Tb  0.132  0.642  0.651
Tb  0.142  0.142  0.851
Tb  0.358  0.868  0.349
Tb  0.642  0.132  0.651
Tb  0.858  0.858  0.149
Tb  0.868  0.358  0.349
Ga  0.339  0.339  0.251
Ga  0.500  0.500  0.000
Ga  0.661  0.661  0.749
N  0.000  0.000  0.500

Entry 13:
VASP calculation (PBE) on a geometry-optimized Tb6Ga2N structure.

## Properties
Formation energy (no corrections) in meV/atom: -379
DOS(E_F) in states/eV/cell: 20.1
Space group: P4_2/mnm, No. 136
Raw total energy in eV/atom: -5.06
Total moment in μB per atom: 0.000

a = 6.705 Å, b = 6.705 Å, c = 10.953 Å
α = 90.00°, β = 90.00°, γ = 90.00°
Positions (direct):
Tb  0.194  0.194  0.158
Tb  0.194  0.194  0.842
Tb  0.244  0.756  0.000
Tb  0.256  0.256  0.500
Tb  0.306  0.694  0.342
Tb  0.306  0.694  0.658
Tb  0.694  0.306  0.342
Tb  0.694  0.306  0.658
Tb  0.744  0.744  0.500
Tb  0.756  0.244  0.000
Tb  0.806  0.806  0.158
Tb  0.806  0.806  0.842
Ga  0.000  0.000  0.363
Ga  0.000  0.000  0.637
Ga  0.500  0.500  0.137
Ga  0.500  0.500  0.863
N  0.000  0.000  0.000
N  0.500  0.500  0.500

Entry 14:
VASP calculation (PBE) on a geometry-optimized TbGaN structure.

## Properties
Formation energy (no corrections) in meV/atom: -883
DOS(E_F) in states/eV/cell: 1.9
Space group: I4/mmm, No. 139
Raw total energy in eV/atom: -6.21
Total moment in μB per atom: 0.000

a = 9.851 Å, b = 9.851 Å, c = 9.851 Å
α = 159.86°, β = 159.86°, γ = 28.63°
Positions (direct):
Tb  0.186  0.186  0.000
Tb  0.814  0.814  0.000
Ga  0.425  0.425  0.000
Ga  0.575  0.575  0.000
N  0.309  0.309  0.000
N  0.691  0.691  0.000

Entry 15:
VASP calculation (PBE) on a geometry-optimized Tb4GaN structure.

## Properties
Formation energy (no corrections) in meV/atom: -617
DOS(E_F) in states/eV/cell: 6.4
Space group: P2/m, No. 10
Raw total energy in eV/atom: -5.60
Total moment in μB per atom: 0.093

a = 5.911 Å, b = 3.562 Å, c = 7.324 Å
α = 90.00°, β = 98.08°, γ = 90.00°
Positions (direct):
Tb  0.220  0.000  0.383
Tb  0.273  0.500  0.786
Tb  0.727  0.500  0.214
Tb  0.780  0.000  0.617
Ga  0.000  0.000  0.000
N  0.000  0.500  0.500

Entry 16:
VASP calculation (PBE) on a geometry-optimized TbGaN structure.

## Properties
Formation energy (no corrections) in meV/atom: -787
DOS(E_F) in states/eV/cell: 1.1
Space group: I4mm, No. 107
Raw total energy in eV/atom: -6.11
Total moment in μB per atom: 0.000

a = 5.856 Å, b = 5.856 Å, c = 5.856 Å
α = 147.12°, β = 147.12°, γ = 47.19°
Positions (direct):
Tb  0.000  0.000  0.000
Ga  0.726  0.726  0.000
N  0.543  0.543  0.000

Entry 17:
VASP calculation (PBE) on a geometry-optimized TbTh2GaN5 structure.

## Properties
Formation energy (no corrections) in meV/atom: -1092
DOS(E_F) in states/eV/cell: 10.6
Space group: Cmc2_1, No. 36
Raw total energy in eV/atom: -8.22
Total moment in μB per atom: 0.000

a = 7.237 Å, b = 7.237 Å, c = 10.569 Å
α = 90.00°, β = 90.00°, γ = 152.07°
Positions (direct):
Tb  0.202  0.798  0.500
Tb  0.798  0.202  0.000
Th  0.123  0.877  0.195
Th  0.130  0.870  0.794
Th  0.870  0.130  0.294
Th  0.877  0.123  0.695
Ga  0.495  0.505  0.990
Ga  0.505  0.495  0.490
N  0.040  0.960  0.570
N  0.298  0.702  0.165
N  0.304  0.696  0.844
N  0.363  0.637  0.522
N  0.499  0.501  0.301
N  0.501  0.499  0.801
N  0.637  0.363  0.022
N  0.696  0.304  0.344
N  0.702  0.298  0.665
N  0.960  0.040  0.070

Entry 18:
VASP calculation (PBE) on a geometry-optimized Tb2YGaN structure.

## Properties
Formation energy (no corrections) in meV/atom: -968
DOS(E_F) in states/eV/cell: 2.4
Space group: P4/mmm, No. 123
Raw total energy in eV/atom: -6.38
Total moment in μB per atom: 0.000

a = 4.783 Å, b = 4.783 Å, c = 4.759 Å
α = 90.00°, β = 90.00°, γ = 90.00°
Positions (direct):
Tb  0.000  0.500  0.000
Tb  0.500  0.000  0.000
Y  0.000  0.000  0.500
Ga  0.500  0.500  0.500
N  0.000  0.000  0.000

Entry 19:
VASP calculation (PBE) on a geometry-optimized GaTc2N structure.

## Properties
Formation energy (no corrections) in meV/atom: 156
DOS(E_F) in states/eV/cell: 7.4
Space group: I-42d, No. 122
Raw total energy in eV/atom: -7.87
Relative energy among the computed polymorphs in eV/atom: 0.0000
Total moment in μB per atom: 0.000

a = 5.254 Å, b = 5.254 Å, c = 5.254 Å
α = 103.00°, β = 103.00°, γ = 123.37°
Positions (direct):
Ga  0.000  0.000  0.000
Ga  0.750  0.250  0.500
Tc  0.228  0.625  0.103
Tc  0.375  0.478  0.603
Tc  0.522  0.125  0.897
Tc  0.875  0.772  0.397
N  0.250  0.750  0.500
N  0.500  0.500  0.000

Entry 20:
VASP calculation (PBE) on a geometry-optimized GaTc2N structure.

## Properties
Formation energy (no corrections) in meV/atom: 299
DOS(E_F) in states/eV/cell: 2.6
Space group: R-3m, No. 166
Raw total energy in eV/atom: -7.72
Relative energy among the computed polymorphs in eV/atom: 0.1426
Total moment in μB per atom: 0.000

a = 7.187 Å, b = 7.187 Å, c = 7.187 Å
α = 25.41°, β = 25.41°, γ = 25.41°
Positions (direct):
Ga  0.000  0.000  0.000
Tc  0.119  0.119  0.119
Tc  0.881  0.881  0.881
N  0.500  0.500  0.500

Entry 21:
VASP calculation (PBE) on a geometry-optimized GaTcN3 structure.

## Properties
Formation energy (no corrections) in meV/atom: 1742
DOS(E_F) in states/eV/cell: 2.6
Space group: Pm-3m, No. 221
Raw total energy in eV/atom: -5.93
Total moment in μB per atom: 0.241

a = 3.808 Å, b = 3.808 Å, c = 3.808 Å
α = 90.00°, β = 90.00°, γ = 90.00°
Positions (direct):
Ga  0.000  0.000  0.000
Tc  0.500  0.500  0.500
N  0.000  0.000  0.500
N  0.000  0.500  0.000
N  0.500  0.000  0.000